1.
{
  "formula": "PuPa2Tc3",
  "functional": "PBE-GGA",
  "state": "relaxed",
  "polymorph_energy_mev_per_atom": 75,
  "ef_ev_per_atom": -0.02,
  "space_group": "P6/mmm",
  "volume_a3_per_atom": 21.6,
  "lattice_angstrom": [[6.030, 0.000, 0.000], [0.000, 8.233, 0.000], [-3.015, -4.117, 5.223]],
  "species": ["Pu", "Pu", "Pa", "Pa", "Pa", "Pa", "Tc", "Tc", "Tc", "Tc", "Tc", "Tc"],
  "fractional_positions": [[0.500, 0.250, 0.500], [0.500, 0.750, 0.500], [0.167, 0.917, 0.833], [0.167, 0.417, 0.833], [0.833, 0.583, 0.167], [0.833, 0.083, 0.167], [0.000, 0.750, 0.000], [0.000, 0.250, 0.000], [0.500, 0.750, 0.000], [0.000, 0.000, 0.500], [0.000, 0.500, 0.500], [0.500, 0.250, 0.000]]
}

=====

2.
{
  "formula": "KVRhBr2",
  "functional": "PBE-GGA",
  "state": "relaxed",
  "formation_energy_uncorrected_kcal_per_mol_atoms": -1.86,
  "space_group": "P4/mmm",
  "volume_a3_per_atom": 27.3,
  "lattice_angstrom": [[-1.436, 5.083, 1.080], [-4.663, -1.755, 2.060], [1.998, -0.336, 4.237]],
  "species": ["K", "Rh", "Br", "Br", "V"],
  "fractional_positions": [[0.500, 0.500, 0.500], [0.000, 0.000, 0.000], [0.000, 0.500, 0.000], [0.500, 0.000, 0.000], [0.000, 0.000, 0.500]]
}

=====

3.
{
  "formula": "CsWC3",
  "functional": "PBE-GGA",
  "state": "relaxed",
  "polymorph_energy_mev_per_atom": 0,
  "ef_ev_per_atom": 1.68,
  "space_group": "Pm-3m",
  "volume_a3_per_atom": 15.8,
  "lattice_angstrom": [[-2.370, -0.593, 3.530], [3.241, -2.153, 1.814], [1.520, 3.666, 1.636]],
  "species": ["Cs", "C", "C", "C", "W"],
  "fractional_positions": [[0.500, 0.500, 0.500], [0.000, 0.500, 0.000], [0.000, 0.000, 0.500], [0.500, 0.000, 0.000], [0.000, 0.000, 0.000]]
}

=====

4.
{
  "formula": "TbNd7Ho3",
  "functional": "PBE-GGA",
  "state": "relaxed",
  "polymorph_energy_mev_per_atom": 0,
  "ef_ev_per_atom": 0.18,
  "space_group": "P-1",
  "volume_a3_per_atom": 35.7,
  "lattice_angstrom": [[9.784, -2.442, 2.035], [-5.652, 8.357, -2.031], [2.495, -1.742, 12.226]],
  "species": ["Tb", "Tb", "Nd", "Nd", "Nd", "Nd", "Nd", "Nd", "Nd", "Nd", "Nd", "Nd", "Nd", "Nd", "Nd", "Nd", "Ho", "Ho", "Ho", "Ho", "Ho", "Ho"],
  "fractional_positions": [[0.500, 0.500, 0.000], [0.500, 0.500, 0.500], [0.164, 0.846, 0.226], [0.153, 0.835, 0.726], [0.086, 0.420, 0.527], [0.084, 0.420, 0.029], [0.580, 0.914, 0.027], [0.580, 0.916, 0.529], [0.281, 0.281, 0.750], [0.719, 0.719, 0.250], [0.420, 0.086, 0.973], [0.420, 0.084, 0.471], [0.916, 0.580, 0.971], [0.914, 0.580, 0.473], [0.847, 0.165, 0.274], [0.836, 0.154, 0.774], [0.328, 0.668, 0.775], [0.000, 0.000, 0.000], [0.000, 0.000, 0.500], [0.333, 0.673, 0.275], [0.667, 0.327, 0.725], [0.672, 0.332, 0.225]]
}

=====

| no. | uncorrected energy (eV per cell) | calculated density (Mg/m³) |
| --- | --- | --- |
| 1 | -129.1 | 12.8 |
| 2 | -21.3 | 4.3 |
| 3 | -33.1 | 7.4 |
| 4 | -99.5 | 7.0 |